1.
{
  "formula": "KAlCr2O8",
  "functional": "PBE with a Hubbard U",
  "state": "optimized geometry",
  "sg": "P-3, No. 147",
  "dft_energy_ev_per_cell": -80.05,
  "lattice_angstrom": [[5.2904, 0.0000, 0.0000], [-2.6452, 4.5816, 0.0000], [0.0000, 0.0000, 7.5546]],
  "species": ["O", "O", "O", "O", "O", "O", "O", "O", "Cr", "Cr", "K", "Al"],
  "frac_coords": [[0.6667, 0.3333, 0.0650], [0.7797, 0.1054, 0.3498], [0.1054, 0.3257, 0.6502], [0.2203, 0.8946, 0.6502], [0.6743, 0.7797, 0.6502], [0.3333, 0.6667, 0.9350], [0.3257, 0.2203, 0.3498], [0.8946, 0.6743, 0.3498], [0.3333, 0.6667, 0.7197], [0.6667, 0.3333, 0.2803], [0.0000, 0.0000, 0.0000], [0.0000, 0.0000, 0.5000]]
}

2.
{
  "formula": "K2AlCrO4",
  "functional": "PBE with a Hubbard U",
  "state": "optimized geometry",
  "sg": "Fddd, No. 70",
  "dft_energy_ev_per_cell": -97.26,
  "lattice_angstrom": [[5.2209, 0.0000, 0.0000], [2.6104, 5.9574, 0.0000], [2.6104, 0.0000, 9.7410]],
  "species": ["Cr", "Cr", "O", "O", "O", "O", "O", "O", "O", "O", "K", "K", "K", "K", "Al", "Al"],
  "frac_coords": [[0.7500, 0.5000, 0.5000], [0.0000, 0.0000, 0.0000], [0.1437, 0.3320, 0.4137], [0.2257, 0.1680, 0.9137], [0.4426, 0.6680, 0.4137], [0.6063, 0.1680, 0.0863], [0.8894, 0.6680, 0.5863], [0.5243, 0.3320, 0.5863], [0.8606, 0.8320, 0.9137], [0.3074, 0.8320, 0.0863], [0.9288, 0.5000, 0.1425], [0.8212, 0.0000, 0.3575], [0.1788, 0.0000, 0.6425], [0.5712, 0.5000, 0.8575], [0.5000, 0.0000, 0.0000], [0.2500, 0.5000, 0.5000]]
}